Entry from Alexandria via LeMat-Bulk: a relaxed Rb2HoVF6 crystal (PBE+U).

- calculated total energy (Ha/atom) = -0.2019
- theoretical density (g cm⁻³) = 4.16
- DOS(E_F) (states/eV/atom) = 0.29

Cell and atoms, written as CIF:
```
data_Rb2HoVF6
_chemical_formula_sum 'Rb4 Ho2 V2 F12'
_space_group_name_H-M_alt 'P m m n'
_space_group_IT_number 59
_cell_length_a 6.075
_cell_length_b 10.792
_cell_length_c 6.095
_cell_angle_alpha 90.00
_cell_angle_beta 90.00
_cell_angle_gamma 90.00
loop_
_space_group_symop_operation_xyz
'x,y,z'
'-x,-y,-z'
'-x+1/2,-y+1/2,z'
'x+1/2,y+1/2,-z'
'x+1/2,-y,-z'
'-x+1/2,y,z'
'-x,y+1/2,-z'
'x,-y+1/2,z'
loop_
_atom_site_label
_atom_site_fract_x
_atom_site_fract_y
_atom_site_fract_z
Rb1 0.250 0.002 0.250
Ho1 0.250 0.250 0.750
V1 0.250 0.750 0.750
F1 0.002 0.750 0.502
F2 0.002 0.750 0.997
F3 0.250 0.050 0.750
```